A plane-wave DFT calculation with meta-GGA SCAN was carried out for Sc2Al2Pd at its PBEsol-relaxed geometry.

The value obtained for the total moment is 0.01 μB/f.u. The formation energy comes out at -3.43 eV/f.u.

It has space group P4/mbm (No. 127), with a = 6.599 Å, b = 6.599 Å, c = 4.216 Å, α = 90.00°, β = 90.00° and γ = 90.00°. The distinct sites, in fractional coordinates, are Sc at (0.166, 0.334, 0.000), Al at (0.139, 0.639, 0.500) and Pd at (0.000, 0.000, 0.500).